Version A
# ScAuC2

Crystalline ScAuC2 at its relaxed geometry (PBE, the Alexandria database).

Computed properties:
- SG = No. 122

Cell: 4.729 4.729 6.390 Å, 68.28 68.28 90.00°
Sites, in units of the cell vectors:
Sc 0.500 0.500 0.000
Sc 0.250 0.750 0.500
C 0.653 0.125 0.250
C 0.097 0.625 0.250
C 0.375 0.347 0.750
C 0.875 0.903 0.750
Au 0.000 0.000 0.000
Au 0.750 0.250 0.500

Version B
# ScAuC2

Crystalline ScAuC2 at its relaxed geometry (PBE, the Alexandria database).

Computed properties:
- SG = No. 225

Cell: 4.096 4.096 4.096 Å, 60.00 60.00 60.00°
Sites, in units of the cell vectors:
Sc 0.000 0.000 0.000
C 0.250 0.250 0.250
C 0.750 0.750 0.750
Au 0.500 0.500 0.500

What should be chosen as the most stable of them? Choose version A.

Version A
# ScAuC3

Crystalline ScAuC3 at its relaxed geometry (PBE, the Alexandria database).

Computed properties:
- SG = No. 221

Cell: 4.112 4.112 4.112 Å, 90.00 90.00 90.00°
Sites, in units of the cell vectors:
Sc 0.500 0.500 0.500
C 0.000 0.500 0.000
C 0.000 0.000 0.500
C 0.500 0.000 0.000
Au 0.000 0.000 0.000

Version B
# ScAuC3

Crystalline ScAuC3 at its relaxed geometry (PBE, the Alexandria database).

Computed properties:
- SG = No. 221

Cell: 4.245 4.245 4.245 Å, 90.00 90.00 90.00°
Sites, in units of the cell vectors:
Sc 0.000 0.000 0.000
C 0.000 0.500 0.000
C 0.000 0.000 0.500
C 0.500 0.000 0.000
Au 0.500 0.500 0.500

What should be chosen as the most stable of them? Choose version A.

Version A
# Au2CSe

Crystalline Au2CSe at its relaxed geometry (PBE, the Alexandria database).

Computed properties:
- SG = No. 225

Cell: 4.519 4.519 4.519 Å, 60.00 60.00 60.00°
Sites, in units of the cell vectors:
C 0.000 0.000 0.000
Au 0.250 0.250 0.250
Au 0.750 0.750 0.750
Se 0.500 0.500 0.500

Version B
# Au2CSe

Crystalline Au2CSe at its relaxed geometry (PBE, the Alexandria database).

Computed properties:
- SG = No. 122

Cell: 5.014 5.014 7.120 Å, 69.38 69.38 90.00°
Sites, in units of the cell vectors:
C 0.500 0.500 0.000
C 0.250 0.750 0.500
Au 0.518 0.125 0.250
Au 0.232 0.625 0.250
Au 0.375 0.482 0.750
Au 0.875 0.768 0.750
Se 0.000 0.000 0.000
Se 0.750 0.250 0.500

What should be chosen as the most stable of them? Choose version B.

Version A
# SiAu2C2

Crystalline SiAu2C2 at its relaxed geometry (PBE, the Alexandria database).

Computed properties:
- SG = No. 127

Cell: 7.014 7.014 2.798 Å, 90.00 90.00 90.00°
Sites, in units of the cell vectors:
Si 0.000 0.000 0.000
Si 0.500 0.500 0.000
Au 0.339 0.839 0.000
Au 0.839 0.661 0.000
Au 0.661 0.161 0.000
Au 0.161 0.339 0.000
C 0.142 0.642 0.500
C 0.642 0.858 0.500
C 0.858 0.358 0.500
C 0.358 0.142 0.500

Version B
# SiAu2C2

Crystalline SiAu2C2 at its relaxed geometry (PBE, the Alexandria database).

Computed properties:
- SG = No. 139

Cell: 3.573 3.573 6.140 Å, 73.09 73.09 90.00°
Sites, in units of the cell vectors:
Si 0.000 0.000 0.000
Au 0.376 0.376 0.249
Au 0.624 0.624 0.751
C 0.750 0.250 0.500
C 0.250 0.750 0.500

What should be chosen as the most stable of them? Choose version B.